(1)
Computed, not measured: PuTaV2 after structural relaxation at the PBE level of DFT.

abc: 3.172 3.172 6.640
angles: 90.00 90.00 90.00
Sites, in units of the cell vectors:
Pu 0.000 0.000 0.000
Ta 0.000 0.000 0.500
V 0.500 0.500 0.257
V 0.500 0.500 0.743

## Properties
- E_tot: -43.5 eV per cell
- Distance to the lowest polymorph of the same formula: 3 meV/atom
- N(E_F): 1.73 states/eV per atom
- E_form: 0.222 eV/atom

(2)
Computed, not measured: PuTaV2 after structural relaxation at the PBE level of DFT.

abc: 4.563 4.563 4.563
angles: 60.00 60.00 60.00
Sites, in units of the cell vectors:
Pu 0.000 0.000 0.000
Ta 0.500 0.500 0.500
V 0.250 0.250 0.250
V 0.750 0.750 0.750

## Properties
- E_tot: -43.5 eV per cell
- Distance to the lowest polymorph of the same formula: 0 meV/atom
- N(E_F): 2.08 states/eV per atom
- E_form: 0.218 eV/atom

(3)
Computed, not measured: PuTa2W after structural relaxation at the PBE level of DFT.

abc: 3.221 3.221 7.389
angles: 90.00 90.00 90.00
Sites, in units of the cell vectors:
Pu 0.000 0.000 0.000
Ta 0.500 0.500 0.284
Ta 0.500 0.500 0.716
W 0.000 0.000 0.500

## Properties
- E_tot: -50.2 eV per cell
- N(E_F): 1.37 states/eV per atom
- E_form: 0.196 eV/atom

(4)
Computed, not measured: PuTaW after structural relaxation at the PBE level of DFT.

abc: 6.469 5.400 5.374
angles: 73.79 53.28 52.92
Sites, in units of the cell vectors:
Pu 0.147 0.147 0.853
Pu 0.853 0.853 0.147
Ta 0.250 0.250 0.250
Ta 0.750 0.750 0.750
W 0.353 0.647 0.353
W 0.647 0.353 0.647

## Properties
- E_tot: -74.8 eV per cell
- N(E_F): 2.23 states/eV per atom
- E_form: 0.578 eV/atom